Compound: RuPtSe2
Source: the Alexandria database
Functional: PBE
Structure: relaxed

M_tot: 0.0 Bohr magnetons per cell
VASP energy: -5.41 eV per atom
Crystal system: trigonal
E_form (uncorrected): 0.157 eV per atom
Energy above the most stable polymorph in this dataset: 22.7 kJ/mol of atoms

abc: 8.0821 8.0821 8.0821
angles: 22.39 22.39 22.39
Element x y z (fractional)
1 Ru 0.0000 0.0000 0.0000
2 Pt 0.5000 0.5000 0.5000
3 Se 0.2556 0.2556 0.2556
4 Se 0.7444 0.7444 0.7444

***

Compound: RbFeAg2Pd
Source: the Alexandria database
Functional: PBE
Structure: relaxed

M_tot: 3.8 Bohr magnetons per cell
VASP energy: -3.51 eV per atom
Energy of formation: 555 meV/atom
Crystal system: tetragonal

abc: 5.3184 5.3184 4.7828
angles: 90.00 90.00 90.00
Element x y z (fractional)
1 Rb 0.0000 0.0000 0.0000
2 Fe 0.5000 0.5000 0.0000
3 Ag 0.0000 0.5000 0.5000
4 Ag 0.5000 0.0000 0.5000
5 Pd 0.5000 0.5000 0.5000

***

Compound: SrTl2CuI5
Source: the Alexandria database
Functional: PBE
Structure: relaxed

M_tot: 0.0 Bohr magnetons per cell
VASP energy: -2.91 eV per atom
Crystal system: orthorhombic
E_form (uncorrected): -0.885 eV per atom

abc: 10.6491 10.6491 15.0286
angles: 90.00 90.00 154.95
Element x y z (fractional)
1 Sr 0.1916 0.8084 0.5000
2 Sr 0.8084 0.1916 0.0000
3 Tl 0.1112 0.8888 0.8150
4 Tl 0.1164 0.8836 0.1583
5 Tl 0.8836 0.1164 0.6583
6 Tl 0.8888 0.1112 0.3150
7 Cu 0.4369 0.5631 0.8869
8 Cu 0.5631 0.4369 0.3869
9 I 0.0351 0.9649 0.4734
10 I 0.3000 0.7000 0.1539
11 I 0.3112 0.6888 0.8439
12 I 0.3500 0.6500 0.4884
13 I 0.5005 0.4995 0.2358
14 I 0.4995 0.5005 0.7358
15 I 0.6500 0.3500 0.9884
16 I 0.6888 0.3112 0.3439
17 I 0.7000 0.3000 0.6539
18 I 0.9649 0.0351 0.9734

***

Compound: ThZrAl2
Source: the Alexandria database
Functional: PBE
Structure: relaxed

M_tot: 0.0 Bohr magnetons per cell
VASP energy: -6.09 eV per atom
Energy of formation: -225 meV/atom
Crystal system: tetragonal
Energy above the most stable polymorph in this dataset: 11.3 kJ/mol of atoms

abc: 4.5683 4.5683 4.3587
angles: 90.00 90.00 90.00
Element x y z (fractional)
1 Th 0.0000 0.0000 0.0000
2 Zr 0.5000 0.5000 0.0000
3 Al 0.0000 0.5000 0.5000
4 Al 0.5000 0.0000 0.5000